(1)
First-principles (PBE) data for crystalline Cs2CePr2O6 at its relaxed geometry, as listed in the Alexandria database.

It has space group C2/m (No. 12), with a = 6.357 Å, b = 10.981 Å, c = 7.349 Å, α = 90.00°, β = 106.29° and γ = 90.00°. Symmetry generates all atoms from Cs at (0.000, 0.167, 0.000), Ce at (0.000, 0.000, 0.500), Pr at (0.000, 0.334, 0.500), O at (0.207, 0.162, 0.658) and O at (0.242, 0.500, 0.658).

Its crystal system is monoclinic. The calculation puts the total moment at 0.0 μB/f.u. For the uncorrected formation energy, the calculation gives -2758 meV/atom.

=====

(2)
First-principles (PBE) data for crystalline Th6NiOs2Se3 at its relaxed geometry, as listed in the Alexandria database.

It has space group C2/m (No. 12), with a = 18.843 Å, b = 4.130 Å, c = 8.723 Å, α = 90.00°, β = 108.55° and γ = 90.00°. Symmetry generates all atoms from Th at (0.008, 0.000, 0.231), Th at (0.159, 0.500, 0.102), Th at (0.175, 0.500, 0.563), Ni at (0.000, 0.500, 0.000), Os at (0.165, 0.000, 0.329), Se at (0.000, 0.500, 0.500) and Se at (0.166, 0.000, 0.834).

Its crystal system is monoclinic. The calculation puts the total moment at 0.0 μB/f.u. For the uncorrected formation energy, the calculation gives -994 meV/atom.

=====

(3)
First-principles (PBE) data for crystalline ScAlHRh2 at its relaxed geometry, as listed in the Alexandria database.

It has space group P4/mmm (No. 123), with a = 4.101 Å, b = 4.101 Å, c = 3.805 Å, α = 90.00°, β = 90.00° and γ = 90.00°. Symmetry generates all atoms from Sc at (0.000, 0.000, 0.000), Al at (0.500, 0.500, 0.000), H at (0.000, 0.000, 0.500) and Rh at (0.000, 0.500, 0.500).

Its crystal system is tetragonal. The calculation puts the total moment at 0.0 μB/f.u. The total energy is -6.3348 eV per atom.

=====

(4)
First-principles (PBE) data for crystalline Ce2Pm2Pb7 at its relaxed geometry, as listed in the Alexandria database.

It has space group Cmmm (No. 65), with a = 9.042 Å, b = 11.110 Å, c = 7.506 Å, α = 90.00°, β = 90.00° and γ = 90.00°. Symmetry generates all atoms from Ce at (0.157, 0.000, 0.000), Pm at (0.000, 0.285, 0.500), Pb at (0.000, 0.000, 0.500), Pb at (0.000, 0.500, 0.199) and Pb at (0.250, 0.250, 0.207).

The calculation puts the energy of formation from the pure elements at -0.03 eV/atom. Its crystal system is orthorhombic. The calculation puts the total moment at 2.6 μB/f.u.

=====

(5)
First-principles (PBE) data for crystalline HfSIO2 at its relaxed geometry, as listed in the Alexandria database.

It has space group P4/mmm (No. 123), with a = 4.006 Å, b = 4.006 Å, c = 6.495 Å, α = 90.00°, β = 90.00° and γ = 90.00°. Symmetry generates all atoms from Hf at (0.000, 0.000, 0.000), S at (0.500, 0.500, 0.500), I at (0.000, 0.000, 0.500) and O at (0.000, 0.500, 0.000).

Its crystal system is tetragonal. The calculation puts the total moment at 0.0 μB/f.u. For the uncorrected formation energy, the calculation gives -1326 meV/atom.

=====

(6)
First-principles (PBE) data for crystalline CsLiCaH at its relaxed geometry, as listed in the Alexandria database.

It has space group Imm2 (No. 44), with a = 3.816 Å, b = 4.744 Å, c = 15.591 Å, α = 90.00°, β = 90.00° and γ = 90.00°. Symmetry generates all atoms from Cs at (0.000, 0.000, 0.000), Li at (0.000, 0.000, 0.687), Ca at (0.000, 0.000, 0.297) and H at (0.000, 0.500, 0.880).

Its crystal system is orthorhombic. The relative energy among the computed polymorphs is 0.112 eV/f.u. The calculation puts the total moment at 0.0 μB/f.u.

=====

(7)
First-principles (PBE) data for crystalline Y2InPb at its relaxed geometry, as listed in the Alexandria database.

It has space group P2/m (No. 10), with a = 3.541 Å, b = 4.377 Å, c = 7.102 Å, α = 90.00°, β = 90.14° and γ = 90.00°. Symmetry generates all atoms from Y at (0.000, 0.000, 0.245), In at (0.500, 0.500, 0.000) and Pb at (0.500, 0.500, 0.500).

The calculation puts the energy of formation from the pure elements at -0.48 eV/atom. Its crystal system is monoclinic. The calculation puts the total moment at 0.0 μB/f.u.

=====

(8)
First-principles (PBE) data for crystalline CeMgCoH6 at its relaxed geometry, as listed in the Alexandria database.

It has space group P-6m2 (No. 187), with a = 4.5261 Å, b = 4.5261 Å, c = 4.4313 Å, α = 90.00°, β = 90.00° and γ = 120.00°. Symmetry generates all atoms from Ce at (0.0000, 0.0000, 0.0000), Mg at (0.3333, 0.6667, 0.5000), Co at (0.6667, 0.3333, 0.5000) and H at (0.5237, 0.0474, 0.2344).

Its crystal system is hexagonal. The calculation puts the total moment at 1.3 μB/f.u. The total energy is -4.1555 eV per atom.

=====

- Which value of total moment does entry 2 give?
  0.0 μB/f.u.